## La2MgPb (GGA-PBE)

Data for a geometry-optimized La2MgPb structure.

Cell lengths 3.690, 3.690, 9.306 Å; angles 90.00, 90.00, 90.00 degrees
Fractional positions:
La1 0.000 0.000 0.248
La2 0.000 0.000 0.752
Mg1 0.500 0.500 0.500
Pb1 0.500 0.500 0.000

- calculated volume (Å³/atom) = 31.677
- energy of formation from the pure elements (eV/f.u.) = -1.2

=====

## Th2Zn3Cu6 (GGA-PBE)

Data for a geometry-optimized Th2Zn3Cu6 structure.

Cell lengths 7.154, 7.154, 4.014 Å; angles 90.00, 90.00, 109.37 degrees
Fractional positions:
Th1 0.180 0.820 0.000
Th2 0.820 0.180 0.000
Zn1 0.316 0.316 0.000
Zn2 0.500 0.500 0.500
Zn3 0.684 0.684 0.000
Cu1 0.143 0.143 0.500
Cu2 0.166 0.501 0.500
Cu3 0.499 0.834 0.500
Cu4 0.501 0.166 0.500
Cu5 0.834 0.499 0.500
Cu6 0.857 0.857 0.500

- calculated volume (Å³/atom) = 17.619
- energy of formation from the pure elements (eV/f.u.) = -0.8

=====

## TlTeCl2 (GGA-PBE)

Data for a geometry-optimized TlTeCl2 structure.

Cell lengths 8.366, 8.366, 4.409 Å; angles 93.23, 93.23, 25.20 degrees
Fractional positions:
Tl1 0.000 0.000 0.000
Te1 0.768 0.768 0.050
Cl1 0.289 0.289 0.555
Cl2 0.567 0.567 0.507

- excess energy over the best structure of this formula in the dataset (eV per formula unit) = 0.57
- calculated volume (Å³/atom) = 32.791

=====

## KNb3Pd (GGA-PBE)

Data for a geometry-optimized KNb3Pd structure.

Cell lengths 5.031, 5.031, 5.031 Å; angles 90.00, 90.00, 90.00 degrees
Fractional positions:
K1 0.000 0.000 0.000
Nb1 0.000 0.500 0.500
Nb2 0.500 0.000 0.500
Nb3 0.500 0.500 0.000
Pd1 0.500 0.500 0.500

- excess energy over the best structure of this formula in the dataset (eV per formula unit) = 0.00
- calculated volume (Å³/atom) = 25.463
- energy of formation from the pure elements (eV/f.u.) = 7.4

=====

## Tb8Cd2Ni (GGA-PBE)

Data for a geometry-optimized Tb8Cd2Ni structure.

Cell lengths 9.197, 9.197, 6.867 Å; angles 108.09, 108.09, 33.93 degrees
Fractional positions:
Tb1 0.020 0.020 0.281
Tb2 0.200 0.200 0.785
Tb3 0.352 0.352 0.551
Tb4 0.409 0.409 0.075
Tb5 0.591 0.591 0.925
Tb6 0.648 0.648 0.449
Tb7 0.800 0.800 0.215
Tb8 0.980 0.980 0.719
Cd1 0.185 0.185 0.214
Cd2 0.815 0.815 0.786
Ni1 0.500 0.500 0.500

- calculated volume (Å³/atom) = 27.876
- energy of formation from the pure elements (eV/f.u.) = -1.5

=====

## FeSi2Ru (GGA-PBE)

Data for a geometry-optimized FeSi2Ru structure.

Cell lengths 4.528, 4.528, 4.140 Å; angles 105.27, 105.27, 36.45 degrees
Fractional positions:
Fe1 0.000 0.000 0.000
Si1 0.493 0.493 0.477
Si2 0.740 0.740 0.108
Ru1 0.236 0.236 0.605

- calculated volume (Å³/atom) = 12.117
- DFT total energy (eV/atom) = -7.598

=====

## SrCa2I6 (GGA-PBE)

Data for a geometry-optimized SrCa2I6 structure.

Cell lengths 8.462, 8.462, 12.797 Å; angles 91.19, 91.19, 121.59 degrees
Fractional positions:
Sr1 0.018 0.982 0.750
Sr2 0.982 0.018 0.250
Ca1 0.297 0.572 0.923
Ca2 0.428 0.703 0.577
Ca3 0.572 0.297 0.423
Ca4 0.703 0.428 0.077
I1 0.035 0.741 0.947
I2 0.090 0.403 0.703
I3 0.259 0.965 0.553
I4 0.290 0.426 0.383
I5 0.403 0.090 0.203
I6 0.426 0.290 0.883
I7 0.574 0.710 0.117
I8 0.597 0.910 0.797
I9 0.710 0.574 0.617
I10 0.741 0.035 0.447
I11 0.910 0.597 0.297
I12 0.965 0.259 0.053

- calculated volume (Å³/atom) = 43.321
- DFT total energy (eV/atom) = -3.257

=====

## PmSm2Sc (GGA-PBE)

Data for a geometry-optimized PmSm2Sc structure.

Cell lengths 14.993, 5.697, 5.930 Å; angles 90.00, 90.00, 90.00 degrees
Fractional positions:
Pm1 0.004 0.250 0.184
Pm2 0.496 0.750 0.684
Pm3 0.504 0.250 0.316
Pm4 0.996 0.750 0.816
Sm1 0.115 0.250 0.688
Sm2 0.247 0.750 0.755
Sm3 0.253 0.250 0.255
Sm4 0.385 0.750 0.188
Sm5 0.615 0.250 0.812
Sm6 0.747 0.750 0.745
Sm7 0.753 0.250 0.245
Sm8 0.885 0.750 0.312
Sc1 0.120 0.750 0.298
Sc2 0.380 0.250 0.798
Sc3 0.620 0.750 0.202
Sc4 0.880 0.250 0.702

- excess energy over the best structure of this formula in the dataset (eV per formula unit) = 0.22
- calculated volume (Å³/atom) = 31.660
- energy of formation from the pure elements (eV/f.u.) = 0.4

=====

Please write out number 4 again, unchanged.
## KNb3Pd (GGA-PBE)

Data for a geometry-optimized KNb3Pd structure.

Cell lengths 5.031, 5.031, 5.031 Å; angles 90.00, 90.00, 90.00 degrees
Fractional positions:
K1 0.000 0.000 0.000
Nb1 0.000 0.500 0.500
Nb2 0.500 0.000 0.500
Nb3 0.500 0.500 0.000
Pd1 0.500 0.500 0.500

- excess energy over the best structure of this formula in the dataset (eV per formula unit) = 0.00
- calculated volume (Å³/atom) = 25.463
- energy of formation from the pure elements (eV/f.u.) = 7.4

=====

The highest calculated volume belongs to which entry?
SrCa2I6

=====

Which value of calculated volume does entry 6 give?
12.117 Å³/atom

=====

What is the formula in the third record?
TlTeCl2